Li7Mn2Co3O12 | PBE with a Hubbard U | optimized geometry

Computed properties:
E_tot   -5.83 eV/atom
Density   4095 kg/m³
Crystal system   monoclinic
Polymorph energy (0 for the lowest one)   67 meV per atom
SG   No. 10

Unit cell a=2.8742 b=5.1765 c=14.3729 alpha=91.33 beta=90.00 gamma=90.00
Last column: nearest neighbours and their distance in Å.
Fractional coordinates of all 24 atoms:
Li: 0.0000 0.3738 0.6460  5 O 2.05-2.26
Li: 0.5001 0.1455 0.3414  6 O 2.00-2.22
Li: 0.0000 0.0000 0.0000  6 O 2.14-2.31
Li: 0.4999 0.8545 0.6586  6 O 2.00-2.22
Li: 0.0000 0.6262 0.3540  5 O 2.05-2.26
Li: 0.5000 0.5000 0.0000  6 O 2.09-2.11
Li: 0.5000 0.5000 0.5000  6 O 2.08-2.10
Mn: 0.9998 0.6688 0.8321  6 O 1.92-1.97
Mn: 0.0002 0.3312 0.1679  6 O 1.92-1.97
Co: 0.4998 0.1699 0.8305  6 O 1.99-2.20
Co: 0.0000 0.0000 0.5000  6 O 1.85-1.95
Co: 0.5002 0.8301 0.1695  6 O 1.99-2.20
O: 0.4997 0.5253 0.7554  2 Mn 1.95, 1 Co 2.15
O: 0.0000 0.2889 0.4262  1 Co 1.85, 3 Li 2.01-2.05
O: 0.5002 0.1868 0.0891  2 Mn 1.97, 3 Li 2.09-2.14, 1 Co 2.20
O: 0.9997 0.9803 0.7621  1 Mn 1.92, 2 Co 1.99
O: 0.5000 0.8458 0.4262  2 Co 1.95, 4 Li 2.00-2.10
O: 0.0001 0.6459 0.0945  1 Mn 1.96, 2 Co 2.02, 2 Li 2.11
O: 0.5000 0.1542 0.5738  2 Co 1.95, 4 Li 2.00-2.10
O: 0.0003 0.0197 0.2379  1 Mn 1.92, 2 Co 1.99
O: 0.4998 0.8132 0.9109  2 Mn 1.97, 3 Li 2.09-2.14, 1 Co 2.20
O: 0.0000 0.7111 0.5738  1 Co 1.85, 3 Li 2.01-2.05
O: 0.5003 0.4747 0.2446  2 Mn 1.95, 1 Co 2.15
O: 0.9999 0.3541 0.9055  1 Mn 1.96, 2 Co 2.02, 2 Li 2.11